Below is an optimized crystal structure of PmZn2Cd, with properties calculated at the GGA-PBEsol level.

The structure in POSCAR format:
```
PmZn2Cd
1.0
6.778 0.000 0.000
0.000 6.778 0.000
0.000 0.000 6.778
Pm Zn Cd
4 8 4
direct
0.000 0.000 0.000
0.000 0.500 0.500
0.500 0.000 0.500
0.500 0.500 0.000
0.250 0.250 0.250
0.250 0.250 0.750
0.250 0.750 0.250
0.250 0.750 0.750
0.750 0.250 0.250
0.750 0.250 0.750
0.750 0.750 0.250
0.750 0.750 0.750
0.000 0.000 0.500
0.000 0.500 0.000
0.500 0.000 0.000
0.500 0.500 0.500
```

Summary:
E_form (eV per atom): -0.343
Space-group type: No. 225

=====

Below is an optimized crystal structure of PrCd, with properties calculated at the GGA-PBEsol level.

The structure in POSCAR format:
```
PrCd
1.0
3.804 0.000 0.000
0.000 3.804 0.000
0.000 0.000 3.804
Pr Cd
1 1
direct
0.000 0.000 0.000
0.500 0.500 0.500
```

Summary:
E_form (eV per atom): -0.325
Space-group type: No. 221

=====

Below is an optimized crystal structure of PrCd3, with properties calculated at the GGA-PBEsol level.

The structure in POSCAR format:
```
PrCd3
1.0
7.189 0.000 0.000
0.000 7.189 0.000
0.000 0.000 7.189
Pr Cd
4 12
direct
0.000 0.000 0.000
0.000 0.500 0.500
0.500 0.000 0.500
0.500 0.500 0.000
0.000 0.000 0.500
0.000 0.500 0.000
0.250 0.250 0.250
0.250 0.250 0.750
0.250 0.750 0.250
0.250 0.750 0.750
0.500 0.000 0.000
0.500 0.500 0.500
0.750 0.250 0.250
0.750 0.250 0.750
0.750 0.750 0.250
0.750 0.750 0.750
```

Summary:
E_form (eV per atom): -0.338
Space-group type: No. 225

=====

Below is an optimized crystal structure of Pr2CdRh2, with properties calculated at the GGA-PBEsol level.

The structure in POSCAR format:
```
Pr2CdRh2
1.0
7.452 0.000 0.000
0.000 7.452 0.000
0.000 0.000 3.953
Pr Cd Rh
4 2 4
direct
0.171 0.329 0.000
0.329 0.829 0.000
0.671 0.171 0.000
0.829 0.671 0.000
0.000 0.000 0.500
0.500 0.500 0.500
0.131 0.631 0.500
0.369 0.131 0.500
0.631 0.869 0.500
0.869 0.369 0.500
```

Summary:
E_form (eV per atom): -0.522
Space-group type: No. 127

=====

Below is an optimized crystal structure of Pr2CdS4, with properties calculated at the GGA-PBEsol level.

The structure in POSCAR format:
```
Pr2CdS4
1.0
-4.169 4.169 4.387
4.169 -4.169 4.387
4.169 4.169 -4.387
Pr Cd S
4 2 8
direct
0.006 0.625 0.881
0.375 0.256 0.381
0.744 0.125 0.119
0.875 0.994 0.619
0.250 0.750 0.500
0.500 0.500 0.000
0.121 0.384 0.119
0.134 0.371 0.619
0.265 0.002 0.881
0.485 0.866 0.237
0.616 0.735 0.737
0.629 0.248 0.763
0.752 0.515 0.381
0.998 0.879 0.263
```

Summary:
Space-group type: No. 122
Uncorrected formation energy (eV/atom): -1.602

=====

Below is an optimized crystal structure of Pr2CdSe4, with properties calculated at the GGA-PBEsol level.

The structure in POSCAR format:
```
Pr2CdSe4
1.0
-4.339 4.339 4.575
4.339 -4.339 4.575
4.339 4.339 -4.575
Pr Cd Se
4 2 8
direct
0.003 0.125 0.378
0.375 0.997 0.122
0.747 0.625 0.622
0.875 0.253 0.878
0.250 0.750 0.500
0.500 0.500 0.000
0.123 0.003 0.737
0.135 0.516 0.763
0.266 0.385 0.263
0.484 0.247 0.619
0.615 0.877 0.881
0.627 0.865 0.381
0.753 0.373 0.237
0.997 0.734 0.119
```

Summary:
Space-group type: No. 122
Uncorrected formation energy (eV/atom): -1.445